No. 1
VASP calculation (PBEsol) on InMo2Au after structural relaxation.

ΔE_f = 0.338 eV/atom
volume = 68.0 Å³/cell
electronic total energy = -0.2672 hartree per atom
total moment = 0.00 μB/f.u.

```
InMo2Au
1.0
2.867 0.000 0.000
1.434 2.483 0.000
1.434 0.828 9.549
Au In Mo
1 1 2
Direct
0.497 0.497 0.509 Au
0.252 0.252 0.245 In
0.003 0.003 0.991 Mo
0.749 0.749 0.754 Mo
```



No. 2
VASP calculation (PBEsol) on InMo4Au after structural relaxation.

ΔE_f = 0.460 eV/atom
volume = 101.2 Å³/cell
electronic total energy = -0.3137 hartree per atom
total moment = 0.00 μB/f.u.

```
InMo4Au
1.0
5.231 0.000 0.000
2.616 4.530 0.000
2.616 1.510 4.271
Mo Au In
4 1 1
Direct
0.376 0.376 0.872 Mo
0.376 0.872 0.376 Mo
0.872 0.376 0.376 Mo
0.376 0.376 0.376 Mo
0.750 0.750 0.750 Au
0.000 0.000 0.000 In
```



No. 3
VASP calculation (PBEsol) on InMoAu2 after structural relaxation.

ΔE_f = 0.246 eV/atom
volume = 69.9 Å³/cell
electronic total energy = -0.1986 hartree per atom
total moment = 0.62 μB/f.u.

```
InMoAu2
1.0
2.911 0.000 0.000
0.000 4.955 0.000
-1.456 -2.477 4.849
Mo In Au
1 1 2
Direct
0.253 0.753 0.506 Mo
0.499 0.499 0.997 In
0.750 0.250 0.500 Au
0.998 0.998 0.996 Au
```



No. 4
VASP calculation (PBEsol) on In2MoAu after structural relaxation.

ΔE_f = 0.129 eV/atom
volume = 73.9 Å³/cell
electronic total energy = -0.1942 hartree per atom
total moment = 0.00 μB/f.u.

```
In2MoAu
1.0
-0.405 -0.677 2.879
4.845 -1.329 0.370
-0.656 5.500 -0.347
Mo In Au
1 2 1
Direct
0.511 0.422 0.022 Mo
0.991 0.925 0.981 In
0.765 0.335 0.530 In
0.233 0.818 0.467 Au
```